1.
A plane-wave DFT calculation with GGA-PBE was carried out for a geometry-optimized DyThTe2 structure.

a b c (Å): 8.414 8.414 8.414
angles (deg): 28.72 28.72 28.72
Element x y z (fractional)
Dy 0.000 0.000 0.000
Th 0.169 0.169 0.169
Te 0.414 0.414 0.414
Te 0.589 0.589 0.589

## Properties
E_form (uncorrected) = -4.637 eV/f.u.
calculated total energy = -5.735 eV/atom

***

2.
A plane-wave DFT calculation with GGA-PBE was carried out for a geometry-optimized RbTl2Hg2Bi2 structure.

a b c (Å): 11.030 11.030 11.030
angles (deg): 27.30 27.30 27.30
Element x y z (fractional)
Rb 0.000 0.000 0.000
Tl 0.144 0.144 0.144
Tl 0.856 0.856 0.856
Hg 0.259 0.259 0.259
Hg 0.741 0.741 0.741
Bi 0.424 0.424 0.424
Bi 0.576 0.576 0.576

## Properties
energy relative to the elements = -0.09 eV per atom
calculated total energy = -2.101 eV/atom

***

Calculated V, 30.41 35.59 A^3/atom (same order as the records).
Calculated total moment, 0.000 0.000 μB/atom (same order as the records).